[1]
VASP calculation (PBE) on a relaxed structure of Y2AlVPt.

Cell: 5.310 5.310 4.460 Å, 90.00 90.00 90.00°
Space group P4/mmm (No. 123)
One atom of each set of equivalent atoms:
Y (0.000, 0.500, 0.000) [2 per cell]
Al (0.000, 0.000, 0.000) [1 per cell]
V (0.000, 0.000, 0.500) [1 per cell]
Pt (0.500, 0.500, 0.500) [1 per cell]

Output
The value obtained for the mass density is 5.95 g cm⁻³. The calculated total energy is -5.749 eV/atom.

[2]
VASP calculation (PBE) on a relaxed structure of AlPtW.

Cell: 12.988 2.942 4.856 Å, 90.00 90.00 90.00°
Space group Amm2 (No. 38)
One atom of each set of equivalent atoms:
Al (0.171, 0.000, 0.000) [4 per cell]
Pt (0.328, 0.000, 0.661) [4 per cell]
W (0.000, 0.000, 0.656) [2 per cell]
W (0.500, 0.000, 0.000) [2 per cell]

Output
The value obtained for the mass density is 14.53 g cm⁻³. The calculated total energy is -7.875 eV/atom.